Material: HgBiRu3
Method: DFT, PBE
State: relaxed

- DFT formation energy (eV per atom) = 1.87

Cell: 4.9818 4.9818 4.9818 Å, 90.00 90.00 90.00°
Space group Pm-3m (No. 221)
One atom of each set of equivalent atoms:
Hg: 0.0000 0.0000 0.0000 x1
Bi: 0.5000 0.5000 0.5000 x1
Ru: 0.0000 0.5000 0.5000 x3


Material: Nd2TiTl3Te6
Method: DFT, PBE
State: relaxed

- E_form (uncorrected) (eV per atom) = -0.853

Cell: 7.6590 13.2485 8.5538 Å, 90.00 107.51 90.00°
Space group C2/m (No. 12)
One atom of each set of equivalent atoms:
Nd: 0.0000 0.1647 0.0000 x4
Ti: 0.0000 0.5000 0.0000 x2
Tl: 0.0000 0.0000 0.5000 x2
Tl: 0.0000 0.3243 0.5000 x4
Te: 0.2220 0.3469 0.2093 x8
Te: 0.2335 0.5000 0.7815 x4


Material: Al2O3
Method: DFT, PBE
State: relaxed

- E_form (uncorrected) (eV per atom) = -2.943

Cell: 4.8478 4.8478 13.5643 Å, 90.00 90.00 120.00°
Space group R-3 (No. 148, hexagonal axes)
One atom of each set of equivalent atoms:
Al: 0.0000 0.0000 0.0000 x3
Al: 0.0000 0.0000 0.1933 x6
Al: 0.0000 0.0000 0.5000 x3
O: 0.0119 0.3123 0.0918 x18


Material: Zr2TlSe
Method: DFT, PBE
State: relaxed

- E_form (uncorrected) (eV per atom) = -0.278

Cell: 7.0002 7.0002 7.0002 Å, 90.00 90.00 90.00°
Space group Fm-3m (No. 225)
One atom of each set of equivalent atoms:
Zr: 0.2500 0.2500 0.2500 x8
Tl: 0.0000 0.0000 0.0000 x4
Se: 0.0000 0.0000 0.5000 x4


| no. | D(E_F) (states/eV per cell) |
| --- | --- |
| 1 | 8.14 |
| 2 | 12.78 |
| 3 | 0.00 |
| 4 | 37.25 |